{"formula": "PrVAgO4", "functional": "PBE+U", "state": "optimized geometry", "lattice_angstrom": [[6.271, 0.000, -1.050], [0.000, 5.338, 0.000], [-3.479, 0.000, 8.165]], "species": ["O", "O", "V", "Ag", "Ag", "O", "O", "Pr", "O", "O", "V", "O", "O", "Pr"], "frac_coords": [[0.012, 0.999, 0.663], [0.988, 0.001, 0.337], [0.164, 0.750, 0.333], [0.615, 0.250, 0.049], [0.385, 0.750, 0.951], [0.012, 0.501, 0.663], [0.561, 0.250, 0.457], [0.711, 0.750, 0.399], [0.733, 0.250, 0.811], [0.439, 0.750, 0.543], [0.836, 0.250, 0.667], [0.267, 0.750, 0.189], [0.988, 0.499, 0.337], [0.289, 0.250, 0.601]], "final_energy_ev_per_cell": -97.21, "dos_ef_per_ev_fu": 0.06, "sg": "No. 11", "magnetic_moment_mub_per_fu": 0.0}